(1)
YPt3: optimized geometry, PBE.

Calculated values
E_form   -670 meV per atom
Crystal system   cubic
Density of states at the Fermi level   12.9 states/eV/cell

a = 5.304 Å, b = 5.304 Å, c = 5.304 Å
α = 90.00°, β = 90.00°, γ = 90.00°
Positions (direct):
1 Y 0.500 0.500 0.500
2 Pt 0.000 0.250 0.500
3 Pt 0.500 0.000 0.750
4 Pt 0.750 0.500 0.000
5 Pt 0.250 0.500 0.000
6 Pt 0.000 0.750 0.500
7 Pt 0.500 0.000 0.250
8 Y 0.000 0.000 0.000

(2)
Pm2Zn7Rh: optimized geometry, PBE.

Calculated values
E_form   -132 meV per atom
Crystal system   cubic
Energy relative to the lowest polymorph listed for this composition   20.7 kJ per mole of atoms
Density of states at the Fermi level   8.4 states/eV/cell

a = 6.655 Å, b = 6.655 Å, c = 6.655 Å
α = 60.00°, β = 60.00°, γ = 60.00°
Positions (direct):
1 Zn 0.500 0.500 0.500
2 Rh 0.000 0.000 0.000
3 Zn 0.252 0.748 0.252
4 Pm 0.250 0.250 0.250
5 Zn 0.252 0.748 0.748
6 Zn 0.748 0.748 0.252
7 Zn 0.748 0.252 0.748
8 Zn 0.252 0.252 0.748
9 Zn 0.748 0.252 0.252
10 Pm 0.750 0.750 0.750

(3)
V2MoRuW: optimized geometry, PBE.

Calculated values
E_form   1494 meV per atom
Crystal system   tetragonal
Density of states at the Fermi level   7.2 states/eV/cell

a = 4.382 Å, b = 4.730 Å, c = 4.382 Å
α = 90.00°, β = 90.00°, γ = 90.00°
Positions (direct):
1 V 0.500 0.000 0.000
2 V 0.000 0.000 0.500
3 Mo 0.000 0.500 0.000
4 W 0.500 0.500 0.500
5 Ru 0.000 0.000 0.000

(4)
Na2AgCl4: optimized geometry, PBE.

Calculated values
Energy relative to the elements, uncorrected   -7.5 eV/f.u.
Crystal system   tetragonal
Energy relative to the lowest polymorph listed for this composition   9.6 kJ per mole of atoms
Density of states at the Fermi level   5.2 states/eV/cell

a = 5.095 Å, b = 5.095 Å, c = 8.012 Å
α = 71.46°, β = 71.46°, γ = 90.00°
Positions (direct):
1 Cl 0.822 0.822 0.356
2 Ag 0.000 0.000 0.000
3 Cl 0.500 0.000 0.000
4 Na 0.366 0.366 0.269
5 Cl 0.000 0.500 0.000
6 Cl 0.178 0.178 0.644
7 Na 0.634 0.634 0.731